The following is a DFT calculation (PBE-GGA) of an optimized crystal structure of KP2Rh.

Summary:
Calculated volume in Å³ per cell: 69
DFT formation energy in kJ/mol of atoms: 52.15
ΔE to the lowest computed polymorph in meV/atom: 959

Unit cell a=6.314 b=5.080 c=2.927 alpha=89.80 beta=62.35 gamma=119.43
Fractional coordinates of all 4 atoms:
1 K 0.500 0.500 0.000
2 Rh 0.000 0.500 0.500
3 P 0.500 0.000 0.500
4 P 0.000 0.000 0.000

The following is a DFT calculation (PBE-GGA) of an optimized crystal structure of KP2Rh.

Summary:
Calculated volume in Å³ per cell: 85
DFT formation energy in kJ/mol of atoms: -40.11
ΔE to the lowest computed polymorph in meV/atom: 3

Unit cell a=6.424 b=6.424 c=6.424 alpha=36.65 beta=36.65 gamma=36.65
Fractional coordinates of all 4 atoms:
1 P 0.547 0.547 0.547
2 P 0.953 0.953 0.953
3 Rh 0.250 0.250 0.250
4 K 0.750 0.750 0.750

The following is a DFT calculation (PBE-GGA) of an optimized crystal structure of KP2Rh.

Summary:
Calculated volume in Å³ per cell: 70
DFT formation energy in kJ/mol of atoms: 71.48
ΔE to the lowest computed polymorph in meV/atom: 1160

Unit cell a=4.631 b=4.631 c=4.631 alpha=60.00 beta=60.00 gamma=60.00
Fractional coordinates of all 4 atoms:
1 K 0.500 0.500 0.500
2 Rh 0.750 0.750 0.750
3 P 0.250 0.250 0.250
4 P 0.000 0.000 0.000

The following is a DFT calculation (PBE-GGA) of an optimized crystal structure of KP2Rh.

Summary:
Calculated volume in Å³ per cell: 84
DFT formation energy in kJ/mol of atoms: -24.93
ΔE to the lowest computed polymorph in meV/atom: 161

Unit cell a=3.360 b=3.966 c=6.271 alpha=89.82 beta=90.00 gamma=90.00
Fractional coordinates of all 4 atoms:
1 P 0.000 0.125 0.093
2 P 0.500 0.125 0.339
3 K 0.500 0.626 0.775
4 Rh 0.000 0.624 0.293